! BeTc2As, relaxed, DFT PBE; values from VASP
! - Space group: Immm (71)
! - Energy relative to the lowest polymorph listed for this composition: 314 meV/atom
! - Total magnetic moment: 0.001 μB per formula unit
! - ΔH_f (0 K): 0.15 eV per atom
! - Volume: 53 Å³ per cell
! - Raw total energy: -7.128 eV/atom
&SYSTEM
  ibrav = 0, nat = 4, ntyp = 3
/
ATOMIC_SPECIES
Tc 98.00 Tc.upf
As 74.92 As.upf
Be 9.01 Be.upf
CELL_PARAMETERS angstrom
4.6315 -0.0046 0.0107
1.3039 4.4441 -0.0107
-2.3632 -3.0278 2.5880
ATOMIC_POSITIONS angstrom
Tc 3.1509 2.3569 0.0000
Tc 5.7520 4.3024 0.0000
As 0.9541 1.8180 1.2886
Be 2.6179 -0.4063 1.2994

! TeCSCl2, relaxed, DFT PBE; values from VASP
! - Space group: P4/mmm (123)
! - Energy relative to the lowest polymorph listed for this composition: 369 meV/atom
! - Total magnetic moment: 1.707 μB per formula unit
! - Volume: 141 Å³ per cell
! - E_form (uncorrected): 1.470 eV/atom
! - Raw total energy: -2.567 eV/atom
&SYSTEM
  ibrav = 0, nat = 5, ntyp = 4
/
ATOMIC_SPECIES
Cl 35.45 Cl.upf
Te 127.60 Te.upf
S 32.06 S.upf
C 12.01 C.upf
CELL_PARAMETERS angstrom
-2.8450 2.9836 -3.2687
0.6093 -3.5848 -3.8025
-4.2324 -2.3508 1.5380
ATOMIC_POSITIONS angstrom
Cl 0.3047 -1.7924 -1.9012
Cl -1.4225 1.4918 -1.6344
Te 0.0000 0.0000 0.0000
S -2.1162 -1.1754 0.7690
C -3.2340 -1.4760 -2.7666